No. 1
A plane-wave DFT calculation with GGA-PBE was carried out for a geometry-optimized Rb2NaHfBr6 structure.

- Formation energy (no corrections): -1.479 eV per atom
- D(E_F): 5.30 states/eV/f.u.
- Calculated volume: 35.8 Å³ per atom
- Electronic total energy: -3.80 eV per atom
- Crystal system: trigonal

Lattice parameters (Å, degrees): 14.3300 14.3300 14.3300 31.57 31.57 31.57
Element x y z (fractional)
1 Rb 0.1318 0.1318 0.1318
2 Rb 0.3008 0.3008 0.3008
3 Rb 0.6992 0.6992 0.6992
4 Rb 0.8682 0.8682 0.8682
5 Na 0.4148 0.4148 0.4148
6 Na 0.5852 0.5852 0.5852
7 Hf 0.0000 0.0000 0.0000
8 Hf 0.5000 0.5000 0.5000
9 Br 0.1345 0.6265 0.6265
10 Br 0.1995 0.1995 0.7155
11 Br 0.1995 0.7155 0.1995
12 Br 0.2845 0.8005 0.8005
13 Br 0.3735 0.3735 0.8655
14 Br 0.3735 0.8655 0.3735
15 Br 0.6265 0.1345 0.6265
16 Br 0.6265 0.6265 0.1345
17 Br 0.7155 0.1995 0.1995
18 Br 0.8005 0.2845 0.8005
19 Br 0.8005 0.8005 0.2845
20 Br 0.8655 0.3735 0.3735

=====

No. 2
A plane-wave DFT calculation with GGA-PBE was carried out for a geometry-optimized AcLaPrSc structure.

- D(E_F): 10.74 states/eV/f.u.
- Calculated volume: 35.8 Å³ per atom
- Formation energy from the elements: 188.4 meV/atom
- Electronic total energy: -4.85 eV per atom
- Crystal system: cubic

Lattice parameters (Å, degrees): 5.8697 5.8697 5.8697 60.00 60.00 60.00
Element x y z (fractional)
1 Ac 0.0000 0.0000 0.0000
2 La 0.2500 0.2500 0.2500
3 Pr 0.7500 0.7500 0.7500
4 Sc 0.5000 0.5000 0.5000

=====

No. 3
A plane-wave DFT calculation with GGA-PBE was carried out for a geometry-optimized ScHgMo structure.

- D(E_F): 2.10 states/eV/f.u.
- Calculated volume: 19.2 Å³ per atom
- Formation energy from the elements: 155.1 meV/atom
- Polymorph energy (0 for the lowest one): 0 meV/atom
- Electronic total energy: -5.67 eV per atom
- Crystal system: tetragonal

Lattice parameters (Å, degrees): 7.0792 7.0792 7.0792 156.24 156.24 33.85
Element x y z (fractional)
1 Sc 0.0000 0.0000 0.0000
2 Hg 0.6749 0.6749 0.0000
3 Mo 0.3406 0.3406 0.0000